# 1
This record from the Open Quantum Materials Database describes TmCl after structural relaxation. The functional is PBE-GGA.

Geometry as extended XYZ:
```
2
Lattice="0.000 2.747 2.747 2.747 0.000 2.747 2.747 2.747 0.000" Properties=species:S:1:pos:R:3 pbc="T T T"
Cl 0.000 0.000 0.000
Tm 2.747 2.747 2.747
```

Output
E: -3.9960 eV/atom
Crystal system: cubic



# 2
This record from the Open Quantum Materials Database describes ZrGaIr after structural relaxation. The functional is PBE-GGA.

Geometry as extended XYZ:
```
3
Lattice="-2.844 -3.115 -1.402 -3.880 1.188 -1.815 -0.689 -0.583 -4.352" Properties=species:S:1:pos:R:3 pbc="T T T"
Ir -5.560 -1.882 -5.677
Zr 0.000 0.000 0.000
Ga -1.853 -0.627 -1.892
```

Output
E: -6.8677 eV/atom
Crystal system: cubic